The following is a PBE calculation of SrLaDySnO6 after structural relaxation, from the Alexandria database.

Calculated values
* D(E_F): 0.00 states/eV/f.u.
* total moment: 0.00 μB/f.u.
* calculated volume: 150 Å³/f.u.
* ΔE_f (raw): -26.9 eV/f.u.

a = 8.4425 Å, b = 8.4425 Å, c = 8.4425 Å
α = 90.00°, β = 90.00°, γ = 90.00°
Closest atoms and distances in Å follow each position.
Space group F-43m (No. 216)
Asymmetric unit:
Sr  0.0000  0.0000  0.0000 [4 per cell]  12 O 2.99
La  0.0000  0.0000  0.5000 [4 per cell]  12 O 2.99
Dy  0.2500  0.2500  0.2500 [4 per cell]  6 O 2.18
Sn  0.2500  0.2500  0.7500 [4 per cell]  6 O 2.04
O  0.0080  0.2500  0.7500 [24 per cell]  1 Sn 2.04, 1 Dy 2.18

The following is a PBE calculation of HfHRh3 after structural relaxation, from the Alexandria database.

Calculated values
* E above lowest polymorph: 2.59 eV/f.u.
* D(E_F): 4.08 states/eV/f.u.
* total moment: 0.00 μB/f.u.
* calculated volume: 69 Å³/f.u.

a = 3.1054 Å, b = 3.1054 Å, c = 16.5850 Å
α = 90.00°, β = 90.00°, γ = 120.00°
Closest atoms and distances in Å follow each position.
Space group P6_3/mmc (No. 194)
Asymmetric unit:
Hf  0.0000  0.0000  0.0000 [2 per cell]  6 Rh 2.65
H  0.3333  0.6667  0.2500 [2 per cell]  3 Rh 1.79
Rh  0.0000  0.0000  0.2500 [2 per cell]  3 H 1.79
Rh  0.3333  0.6667  0.1177 [4 per cell]  1 H 2.19

The following is a PBE calculation of Ag3HgBr after structural relaxation, from the Alexandria database.

Calculated values
* E above lowest polymorph: 0.00 eV/f.u.
* D(E_F): 1.07 states/eV/f.u.
* total moment: 0.00 μB/f.u.
* calculated volume: 150 Å³/f.u.
* ΔE_f (raw): 2.6 eV/f.u.

a = 5.3086 Å, b = 5.3086 Å, c = 5.3086 Å
α = 90.00°, β = 90.00°, γ = 90.00°
Closest atoms and distances in Å follow each position.
Space group Pm-3m (No. 221)
Asymmetric unit:
Ag  0.0000  0.0000  0.5000 [3 per cell]  2 Br 2.65
Hg  0.5000  0.5000  0.5000 [1 per cell]  12 Ag 3.75
Br  0.0000  0.0000  0.0000 [1 per cell]  6 Ag 2.65

The following is a PBE calculation of GaFeCo3 after structural relaxation, from the Alexandria database.

Calculated values
* E above lowest polymorph: 4.56 eV/f.u.
* formation energy from the elements: 1023 meV per atom
* D(E_F): 9.69 states/eV/f.u.
* total moment: 7.35 μB/f.u.
* calculated volume: 80 Å³/f.u.

a = 4.3118 Å, b = 4.3118 Å, c = 4.3118 Å
α = 90.00°, β = 90.00°, γ = 90.00°
Closest atoms and distances in Å follow each position.
Space group Pm-3m (No. 221)
Asymmetric unit:
Ga  0.0000  0.0000  0.0000 [1 per cell]  12 Co 3.05
Fe  0.5000  0.5000  0.5000 [1 per cell]  6 Co 2.16
Co  0.0000  0.5000  0.5000 [3 per cell]  2 Fe 2.16

The following is a PBE calculation of BaCaB after structural relaxation, from the Alexandria database.

Calculated values
* E above lowest polymorph: 0.00 eV/f.u.
* formation energy from the elements: 153 meV per atom
* D(E_F): 2.42 states/eV/f.u.
* total moment: 0.00 μB/f.u.
* calculated volume: 106 Å³/f.u.

a = 7.6938 Å, b = 4.4357 Å, c = 12.4759 Å
α = 90.00°, β = 90.09°, γ = 90.00°
Closest atoms and distances in Å follow each position.
Space group Cm (No. 8)
Asymmetric unit:
Ba  0.0000  0.0000  0.0000 [2 per cell]  3 B 3.33-3.34
Ba  0.1647  0.5000  0.3213 [2 per cell]  3 Ca 4.15, 6 Ba 4.44
Ca  0.3325  0.0000  0.7712 [2 per cell]  6 B 2.66-2.70
Ca  0.4988  0.5000  0.5828 [2 per cell]  3 B 2.96-2.97
B  0.1653  0.5000  0.7027 [2 per cell]  1 B 1.57
B  0.1659  0.5000  0.8288 [2 per cell]  1 B 1.57

The following is a PBE calculation of Ba4LiRu3O12 after structural relaxation, from the Alexandria database.

Calculated values
* D(E_F): 13.11 states/eV/f.u.
* total moment: 2.95 μB/f.u.
* calculated volume: 270 Å³/f.u.
* ΔE_f (raw): -35.8 eV/f.u.

a = 8.1397 Å, b = 8.1397 Å, c = 8.1397 Å
α = 90.00°, β = 90.00°, γ = 90.00°
Closest atoms and distances in Å follow each position.
Space group Im-3m (No. 229)
Asymmetric unit:
Ba  0.2500  0.2500  0.2500 [8 per cell]  12 O 2.88
Li  0.0000  0.0000  0.0000 [2 per cell]  6 O 2.16
Ru  0.0000  0.0000  0.5000 [6 per cell]  6 O 1.91-2.03
O  0.0000  0.0000  0.2655 [12 per cell]  1 Ru 1.91
O  0.0000  0.2500  0.5000 [12 per cell]  2 Ru 2.03

The following is a PBE calculation of Ba2AgPd2 after structural relaxation, from the Alexandria database.

Calculated values
* E above lowest polymorph: 1.01 eV/f.u.
* formation energy from the elements: -264 meV per atom
* D(E_F): 3.21 states/eV/f.u.
* total moment: 0.00 μB/f.u.
* calculated volume: 150 Å³/f.u.

a = 4.0267 Å, b = 4.0267 Å, c = 18.4945 Å
α = 90.00°, β = 90.00°, γ = 90.00°
Closest atoms and distances in Å follow each position.
Space group I4/mmm (No. 139)
Asymmetric unit:
Ba  0.0000  0.0000  0.1187 [4 per cell]  4 Pd 3.15
Ag  0.0000  0.0000  0.5000 [2 per cell]  8 Ba 3.60, 4 Ag 4.03
Pd  0.0000  0.5000  0.2500 [4 per cell]  4 Pd 2.85, 4 Ba 3.15

The following is a PBE calculation of Ba2SiCl after structural relaxation, from the Alexandria database.

Calculated values
* E above lowest polymorph: 0.32 eV/f.u.
* D(E_F): 1.64 states/eV/f.u.
* total moment: 0.00 μB/f.u.
* calculated volume: 138 Å³/f.u.
* ΔE_f (raw): -4.0 eV/f.u.

a = 5.5133 Å, b = 3.9648 Å, c = 12.6443 Å
α = 90.00°, β = 90.00°, γ = 90.00°
Closest atoms and distances in Å follow each position.
Space group Amm2 (No. 38)
Asymmetric unit:
Ba  0.0000  0.0000  0.0000 [2 per cell]  3 Si 3.38-3.55, 4 Cl 3.40
Ba  0.5000  0.0000  0.2436 [2 per cell]  1 Cl 3.13, 4 Si 3.40
Si  0.0000  0.0000  0.7328 [2 per cell]  7 Ba 3.38-3.55
Cl  0.5000  0.0000  0.4914 [2 per cell]  5 Ba 3.13-3.40

The following is a PBE calculation of Ga2HgAu after structural relaxation, from the Alexandria database.

Calculated values
* formation energy from the elements: 5 meV per atom
* D(E_F): 1.69 states/eV/f.u.
* total moment: 0.00 μB/f.u.
* calculated volume: 87 Å³/f.u.

a = 7.6848 Å, b = 7.6848 Å, c = 5.8923 Å
α = 90.00°, β = 90.00°, γ = 90.00°
Closest atoms and distances in Å follow each position.
Space group I-42d (No. 122)
Asymmetric unit:
Ga  0.2203  0.7500  0.1250 [8 per cell]  2 Au 2.66, 2 Hg 2.98, 2 Ga 2.98
Hg  0.0000  0.0000  0.5000 [4 per cell]  2 Au 2.95, 4 Ga 2.98
Au  0.0000  0.0000  0.0000 [4 per cell]  4 Ga 2.66, 2 Hg 2.95

The following is a PBE calculation of K2MnAsSe4 after structural relaxation, from the Alexandria database.

Calculated values
* D(E_F): 3.63 states/eV/f.u.
* total moment: 4.00 μB/f.u.
* calculated volume: 258 Å³/f.u.
* ΔE_f (raw): -4.8 eV/f.u.

a = 6.4976 Å, b = 14.2685 Å, c = 22.2604 Å
α = 90.00°, β = 90.00°, γ = 90.00°
Closest atoms and distances in Å follow each position.
Space group Fddd (No. 70, origin choice 2)
Asymmetric unit:
K  0.1250  0.1250  0.3053 [16 per cell]  6 Se 3.46-3.81
Mn  0.1250  0.1250  0.1250 [8 per cell]  4 Se 2.45
As  0.1250  0.1250  0.6250 [8 per cell]  4 Se 2.55
Se  0.1122  0.2719  0.4290 [32 per cell]  1 Mn 2.45, 1 As 2.55

The following is a PBE calculation of Pr6TlIr2I3 after structural relaxation, from the Alexandria database.

Calculated values
* D(E_F): 7.02 states/eV/f.u.
* total moment: 0.00 μB/f.u.
* calculated volume: 402 Å³/f.u.
* ΔE_f (raw): -10.0 eV/f.u.

a = 7.5444 Å, b = 13.0215 Å, c = 8.5607 Å
α = 90.00°, β = 107.13°, γ = 90.00°
Closest atoms and distances in Å follow each position.
Space group C2/m (No. 12)
Asymmetric unit:
Pr  0.1988  0.0000  0.1927 [4 per cell]  2 Ir 2.88, 1 Tl 3.18
Pr  0.2494  0.3171  0.1954 [8 per cell]  2 Ir 2.88, 1 Tl 3.19
Tl  0.0000  0.5000  0.0000 [2 per cell]  6 Pr 3.18-3.19
Ir  0.0000  0.1675  0.0000 [4 per cell]  6 Pr 2.88
I  0.0000  0.0000  0.5000 [2 per cell]  6 Pr 3.39-3.63
I  0.0000  0.3394  0.5000 [4 per cell]  6 Pr 3.41-3.65

The following is a PBE calculation of LiPb after structural relaxation, from the Alexandria database.

Calculated values
* formation energy from the elements: 457 meV per atom
* D(E_F): 1.54 states/eV/f.u.
* total moment: 0.00 μB/f.u.
* calculated volume: 62 Å³/f.u.

a = 6.2797 Å, b = 6.2797 Å, c = 6.2797 Å
α = 90.00°, β = 90.00°, γ = 90.00°
Closest atoms and distances in Å follow each position.
Space group F-43m (No. 216)
Asymmetric unit:
Li  0.0000  0.0000  0.0000 [4 per cell]  4 Pb 2.72
Pb  0.2500  0.2500  0.7500 [4 per cell]  4 Li 2.72